Entry 1:
Entry from Alexandria via LeMat-Bulk: a relaxed structure of Ba2CdI (GGA-PBE).

Lattice parameters (Å, degrees): 4.202 4.202 9.350 90.00 90.00 90.00
Sites, in units of the cell vectors:
Ba 0.000 0.000 0.229
Ba 0.000 0.000 0.771
Cd 0.500 0.500 0.000
I 0.500 0.500 0.500

Results
The calculation puts the uncorrected formation energy at -3.076 eV per formula unit. The value obtained for the total energy is -9.4 eV for the cell shown. The value obtained for the magnetization is 0.003 μB per formula unit.

***

Entry 2:
Entry from Alexandria via LeMat-Bulk: a relaxed structure of BaCdI3 (GGA-PBE).

Lattice parameters (Å, degrees): 5.997 5.997 5.997 90.00 90.00 90.00
Sites, in units of the cell vectors:
Ba 0.000 0.000 0.000
Cd 0.500 0.500 0.500
I 0.000 0.500 0.500
I 0.500 0.000 0.500
I 0.500 0.500 0.000

Results
The calculation puts the uncorrected formation energy at -4.356 eV per formula unit. The value obtained for the total energy is -11.8 eV for the cell shown. The value obtained for the magnetization is 0.000 μB per formula unit.